Entry 1:
The following is a meta-GGA SCAN calculation of CrFeGe2 at its PBEsol-relaxed geometry, from Alexandria.

a b c (Å): 4.656 4.615 4.660
angles (deg): 90.00 90.04 90.00
Atoms (fractional coordinates):
Cr  0.106  0.000  0.128
Cr  0.894  0.500  0.872
Fe  0.384  0.772  0.639
Fe  0.616  0.272  0.361
Ge  0.097  0.480  0.349
Ge  0.412  0.293  0.839
Ge  0.588  0.793  0.161
Ge  0.903  0.980  0.651

Output
- calculated formation energy (eV per atom) = -0.041



Entry 2:
The following is a meta-GGA SCAN calculation of Mg3Ru2 at its PBEsol-relaxed geometry, from Alexandria.

a b c (Å): 6.883 6.883 6.883
angles (deg): 90.00 90.00 90.00
Atoms (fractional coordinates):
Mg  0.044  0.125  0.794
Mg  0.125  0.794  0.044
Mg  0.206  0.544  0.375
Mg  0.294  0.456  0.875
Mg  0.375  0.206  0.544
Mg  0.456  0.875  0.294
Mg  0.544  0.375  0.206
Mg  0.625  0.706  0.956
Mg  0.706  0.956  0.625
Mg  0.794  0.044  0.125
Mg  0.875  0.294  0.456
Mg  0.956  0.625  0.706
Ru  0.075  0.925  0.425
Ru  0.175  0.175  0.175
Ru  0.325  0.825  0.675
Ru  0.425  0.075  0.925
Ru  0.575  0.575  0.575
Ru  0.675  0.325  0.825
Ru  0.825  0.675  0.325
Ru  0.925  0.425  0.075

Output
- calculated formation energy (eV per atom) = -0.226
- energy relative to the lowest polymorph listed for this composition (meV per atom) = 0.0



Entry 3:
The following is a meta-GGA SCAN calculation of Zr2InMo at its PBEsol-relaxed geometry, from Alexandria.

a b c (Å): 3.441 3.441 6.661
angles (deg): 90.00 90.00 90.00
Atoms (fractional coordinates):
Zr  0.000  0.000  0.226
Zr  0.000  0.000  0.774
In  0.500  0.500  0.500
Mo  0.500  0.500  0.000

Output
- calculated formation energy (eV per atom) = -0.324



Entry 4:
The following is a meta-GGA SCAN calculation of KMnCo at its PBEsol-relaxed geometry, from Alexandria.

a b c (Å): 4.838 4.838 2.730
angles (deg): 90.00 90.00 120.00
Atoms (fractional coordinates):
K  0.000  0.000  0.000
Mn  0.333  0.667  0.500
Co  0.667  0.333  0.500

Output
- calculated formation energy (eV per atom) = 1.056



Entry 5:
The following is a meta-GGA SCAN calculation of RbMnF3 at its PBEsol-relaxed geometry, from Alexandria.

a b c (Å): 4.219 4.219 4.219
angles (deg): 90.00 90.00 90.00
Atoms (fractional coordinates):
Rb  0.000  0.000  0.000
Mn  0.500  0.500  0.500
F  0.000  0.500  0.500
F  0.500  0.000  0.500
F  0.500  0.500  0.000

Output
- E_tot (eV per cell) = -64.6



Entry 6:
The following is a meta-GGA SCAN calculation of Be2Pt at its PBEsol-relaxed geometry, from Alexandria.

a b c (Å): 4.510 3.756 7.279
angles (deg): 90.00 90.00 90.00
Atoms (fractional coordinates):
Be  0.138  0.250  0.029
Be  0.187  0.250  0.694
Be  0.313  0.750  0.194
Be  0.362  0.750  0.529
Be  0.638  0.250  0.471
Be  0.687  0.250  0.806
Be  0.813  0.750  0.306
Be  0.862  0.750  0.971
Pt  0.142  0.250  0.369
Pt  0.358  0.750  0.869
Pt  0.642  0.250  0.131
Pt  0.858  0.750  0.631

Output
- calculated formation energy (eV per atom) = -0.798
- energy relative to the lowest polymorph listed for this composition (meV per atom) = 43.9



Entry 7:
The following is a meta-GGA SCAN calculation of BeInTe at its PBEsol-relaxed geometry, from Alexandria.

a b c (Å): 6.744 6.331 3.572
angles (deg): 80.63 67.86 31.51
Atoms (fractional coordinates):
Be  0.000  0.000  0.000
In  0.346  0.346  0.654
Te  0.617  0.617  0.383

Output
- E_tot (eV per cell) = -74.1



Entry 8:
The following is a meta-GGA SCAN calculation of InPt2Rh at its PBEsol-relaxed geometry, from Alexandria.

a b c (Å): 4.463 4.463 4.463
angles (deg): 60.00 60.00 60.00
Atoms (fractional coordinates):
In  0.000  0.000  0.000
Pt  0.500  0.500  0.500
Pt  0.750  0.750  0.750
Rh  0.250  0.250  0.250

Output
- calculated formation energy (eV per atom) = -0.170